# MoCF2

MoCF2 at its PBEsol-relaxed geometry (SCAN, the Alexandria database).

abc: 3.1221 3.1221 7.9636
angles: 101.30 101.30 90.00
Closest atoms and distances in Å follow each position.
Atoms (fractional coordinates):
Mo1 0.2500 0.7500 0.5000  4 F 2.19, 4 C 2.21
Mo2 0.0000 0.0000 0.0000  4 F 2.19, 4 C 2.21
F1 0.1250 0.1066 0.7500  4 F 2.13-2.29, 2 Mo 2.19, 2 C 2.23
F2 0.8934 0.3750 0.2500  4 F 2.13-2.29, 2 Mo 2.19, 2 C 2.23
F3 0.6250 0.6434 0.7500  4 F 2.13-2.29, 2 Mo 2.19, 2 C 2.23
F4 0.3566 0.8750 0.2500  4 F 2.13-2.29, 2 Mo 2.19, 2 C 2.23
C1 0.7500 0.2500 0.5000  4 Mo 2.21, 4 F 2.23
C2 0.5000 0.5000 0.0000  4 Mo 2.21, 4 F 2.23

ρ   6.5 Mg/m³
Formation energy (no corrections)   -0.255 eV per atom